The following is a DFT calculation (PBE) of crystalline SrLaP2 at its relaxed geometry.

As for the space group: I-42d. The energy relative to the lowest polymorph listed for this composition comes out at 235 meV/atom. The calculation puts the spin magnetization at 0.000 μB/f.u. The value obtained for the density of states at the Fermi level is 3.374 states/eV per cell. As for the total energy: -5.263 eV per atom. Its calculated volume is 233 Å³/cell. Its energy relative to the elements is -20.88 kcal/mol of atoms.

abc: 6.712 6.712 6.712
angles: 108.69 108.69 111.04
Fractional positions:
Sr  0.000  0.000  0.000
Sr  0.750  0.250  0.500
La  0.250  0.750  0.500
La  0.500  0.500  0.000
P  0.135  0.625  0.010
P  0.375  0.385  0.510
P  0.615  0.125  0.990
P  0.875  0.865  0.490